{
  "formula": "SrCaP2",
  "functional": "SCAN",
  "state": "PBEsol geometry",
  "final_energy_ev_per_cell": -56.15,
  "ef_mev_per_atom": -853.0,
  "spacegroup": "I4/mmm, No. 139",
  "cell": [[4.799, 0.000, 0.000], [-2.400, 4.586, -0.017], [0.000, 2.527, 4.080]],
  "species": ["Ca", "P", "P", "Sr"],
  "frac_coords": [[0.500, 0.000, 0.500], [0.250, 0.500, 0.250], [0.750, 0.500, 0.750], [0.000, 0.000, 0.000]]
}